# 1
Density functional theory data (PBE) for crystalline Ca2GaBi2 at its relaxed geometry. Values from VASP.

## Properties
Distance to the lowest polymorph of the same formula   0.63 eV per formula unit
Spin magnetization   0.0 μB per cell
Final energy   -3.41 eV per atom
ΔH_f (0 K)   -0.4518 eV per atom

```
&SYSTEM
  ibrav = 0, nat = 10, ntyp = 3
/
ATOMIC_SPECIES
Ca 40.08 Ca.upf
Bi 208.98 Bi.upf
Ga 69.72 Ga.upf
CELL_PARAMETERS angstrom
-8.606 -3.603 -0.409
3.107 -7.870 3.953
-0.730 1.370 3.301
ATOMIC_POSITIONS angstrom
Ca -3.037 -1.711 2.054
Bi -0.310 -7.822 3.178
Bi -5.165 -8.225 2.271
Ca -3.193 -8.391 4.792
Ga -2.750 -5.736 1.772
Ca -6.652 -5.254 2.725
Bi -0.335 -3.247 1.274
Ca 0.422 -4.848 4.121
Ga 0.000 0.000 0.000
Bi -5.189 -3.650 0.367
```

# 2
Density functional theory data (PBE) for crystalline Na4Br2Cl at its relaxed geometry. Values from VASP.

## Properties
Spin magnetization   0.0 μB per cell
Final energy   -2.72 eV per atom
ΔE_f (raw)   -1.2199 eV per atom

```
&SYSTEM
  ibrav = 0, nat = 7, ntyp = 3
/
ATOMIC_SPECIES
Na 22.99 Na.upf
Br 79.90 Br.upf
Cl 35.45 Cl.upf
CELL_PARAMETERS angstrom
5.288 0.000 0.000
0.000 5.288 0.000
2.644 2.644 7.821
ATOMIC_POSITIONS angstrom
Na 2.644 2.644 4.802
Na 0.000 2.644 0.000
Br 5.288 5.288 5.930
Br 2.644 2.644 1.890
Na 2.644 0.000 0.000
Na 5.288 5.288 3.018
Cl 0.000 0.000 0.000
```

# 3
Density functional theory data (PBE) for crystalline ReNiW2 at its relaxed geometry. Values from VASP.

## Properties
Distance to the lowest polymorph of the same formula   0.43 eV per formula unit
Spin magnetization   0.0 μB per cell
Final energy   -10.87 eV per atom
ΔH_f (0 K)   0.1642 eV per atom

```
&SYSTEM
  ibrav = 0, nat = 4, ntyp = 3
/
ATOMIC_SPECIES
Re 186.21 Re.upf
W 183.84 W.upf
Ni 58.69 Ni.upf
CELL_PARAMETERS angstrom
4.724 -0.011 0.009
3.917 2.641 0.009
0.759 0.231 4.719
ATOMIC_POSITIONS angstrom
Re 2.278 0.693 1.214
W 7.109 2.164 3.460
W 8.635 2.628 0.057
Ni 4.719 1.436 2.391
```

# 4
Density functional theory data (PBE) for crystalline Mn4Zn at its relaxed geometry. Values from VASP.

## Properties
Distance to the lowest polymorph of the same formula   4.92 eV per formula unit
Spin magnetization   15.5 μB per cell
Final energy   -6.42 eV per atom
ΔH_f (0 K)   1.1699 eV per atom

```
&SYSTEM
  ibrav = 0, nat = 5, ntyp = 2
/
ATOMIC_SPECIES
Mn 54.94 Mn.upf
Zn 65.41 Zn.upf
CELL_PARAMETERS angstrom
4.580 0.000 0.000
0.000 4.580 0.000
0.000 0.000 4.580
ATOMIC_POSITIONS angstrom
Mn 0.000 2.290 2.290
Mn 0.000 0.000 0.000
Mn 2.290 2.290 0.000
Mn 2.290 0.000 2.290
Zn 2.290 2.290 2.290
```

# 5
Density functional theory data (PBE) for crystalline IrBrCl at its relaxed geometry. Values from VASP.

## Properties
Distance to the lowest polymorph of the same formula   0.13 eV per formula unit
Spin magnetization   1.0 μB per cell
Final energy   -3.91 eV per atom
ΔE_f (raw)   0.2155 eV per atom

```
&SYSTEM
  ibrav = 0, nat = 3, ntyp = 3
/
ATOMIC_SPECIES
Ir 192.22 Ir.upf
Cl 35.45 Cl.upf
Br 79.90 Br.upf
CELL_PARAMETERS angstrom
-2.701 -2.689 0.244
3.105 -0.206 2.214
-2.817 3.216 4.251
ATOMIC_POSITIONS angstrom
Ir -0.692 1.092 4.367
Cl -2.067 -0.375 2.865
Br -2.471 2.821 3.728
```

# 6
Density functional theory data (PBE) for crystalline IrWCl at its relaxed geometry. Values from VASP.

## Properties
Distance to the lowest polymorph of the same formula   1.69 eV per formula unit
Spin magnetization   0.0 μB per cell
Final energy   -7.16 eV per atom
ΔE_f (raw)   0.7305 eV per atom

```
&SYSTEM
  ibrav = 0, nat = 3, ntyp = 3
/
ATOMIC_SPECIES
Ir 192.22 Ir.upf
Cl 35.45 Cl.upf
W 183.84 W.upf
CELL_PARAMETERS angstrom
4.259 0.000 0.000
2.130 3.689 0.000
2.130 1.230 3.478
ATOMIC_POSITIONS angstrom
Ir 4.259 2.459 1.739
Cl 0.000 0.000 0.000
W 6.389 3.689 2.608
```

# 7
Density functional theory data (PBE) for crystalline LaInSe3 at its relaxed geometry. Values from VASP.

## Properties
Distance to the lowest polymorph of the same formula   2.43 eV per formula unit
Spin magnetization   0.0 μB per cell
Final energy   -4.38 eV per atom
ΔE_f (raw)   -0.7609 eV per atom

```
&SYSTEM
  ibrav = 0, nat = 5, ntyp = 3
/
ATOMIC_SPECIES
La 138.91 La.upf
Se 78.96 Se.upf
In 114.82 In.upf
CELL_PARAMETERS angstrom
5.224 0.000 0.000
0.000 5.224 0.000
0.000 0.000 5.224
ATOMIC_POSITIONS angstrom
La 2.612 2.612 2.612
Se 0.000 2.612 0.000
Se 0.000 0.000 2.612
In 0.000 0.000 0.000
Se 2.612 0.000 0.000
```

# 8
Density functional theory data (PBE) for crystalline Ti7GaPd12 at its relaxed geometry. Values from VASP.

## Properties
Spin magnetization   1.9 μB per cell
Final energy   -6.41 eV per atom
ΔH_f (0 K)   -0.3802 eV per atom

```
&SYSTEM
  ibrav = 0, nat = 20, ntyp = 3
/
ATOMIC_SPECIES
Pd 106.42 Pd.upf
Ti 47.87 Ti.upf
Ga 69.72 Ga.upf
CELL_PARAMETERS angstrom
-5.175 -2.383 -3.865
4.641 -2.171 -4.599
0.386 -5.956 3.432
ATOMIC_POSITIONS angstrom
Pd 2.441 -7.563 -1.570
Pd 2.817 -3.259 -2.971
Ti -0.939 -7.755 -5.460
Pd -2.196 -4.757 -1.375
Ti 0.925 -1.429 -2.345
Pd 0.299 -3.460 -4.156
Pd 2.047 -5.753 -3.658
Pd -2.590 -2.947 -3.462
Pd -0.387 -5.120 1.010
Pd -1.858 -5.438 -4.201
Ti -0.074 -5.255 -2.516
Pd 0.238 -5.390 -6.042
Ti 1.654 -8.499 -3.984
Ga 0.000 0.000 0.000
Ti 0.791 -2.755 0.427
Ti -1.074 -9.081 -2.688
Ti -1.803 -2.011 -1.049
Pd -2.966 -7.251 -2.062
Pd 1.709 -5.072 -0.832
Pd -0.448 -7.050 -0.876
```

# 9
Density functional theory data (PBE) for crystalline Na3ReTc at its relaxed geometry. Values from VASP.

## Properties
Distance to the lowest polymorph of the same formula   0.00 eV per formula unit
Spin magnetization   7.1 μB per cell
Final energy   -3.02 eV per atom
ΔH_f (0 K)   2.3354 eV per atom

```
&SYSTEM
  ibrav = 0, nat = 5, ntyp = 3
/
ATOMIC_SPECIES
Na 22.99 Na.upf
Tc 98.00 Tc.upf
Re 186.21 Re.upf
CELL_PARAMETERS angstrom
-5.449 0.942 -0.399
-0.261 -3.374 -4.392
-0.989 -4.297 3.360
ATOMIC_POSITIONS angstrom
Na -0.131 -1.687 -2.196
Na -2.724 0.471 -0.200
Na -0.495 -2.149 1.680
Tc -3.350 -3.364 -0.715
Re 0.000 0.000 0.000
```

# 10
Density functional theory data (PBE) for crystalline Dy8Cd2Pb at its relaxed geometry. Values from VASP.

## Properties
Spin magnetization   0.0 μB per cell
Final energy   -4.00 eV per atom
ΔH_f (0 K)   -0.1499 eV per atom

```
&SYSTEM
  ibrav = 0, nat = 11, ntyp = 3
/
ATOMIC_SPECIES
Dy 162.50 Dy.upf
Cd 112.41 Cd.upf
Pb 207.20 Pb.upf
CELL_PARAMETERS angstrom
-3.653 3.122 1.890
-5.012 -3.236 -4.339
2.005 -6.069 6.848
ATOMIC_POSITIONS angstrom
Dy -4.110 -0.772 0.386
Dy -3.756 -2.667 -2.853
Dy -0.121 -3.145 4.961
Dy -5.250 -3.477 2.652
Cd -3.450 -3.985 -0.086
Cd -3.209 -2.199 4.484
Dy -2.903 -3.516 7.251
Dy -2.549 -5.411 4.013
Pb -1.826 1.561 0.945
Dy -1.410 -2.706 1.746
Dy -6.538 -3.038 -0.563
```

# 11
Density functional theory data (PBE) for crystalline Ba2Ti2O5 at its relaxed geometry. Values from VASP.

## Properties
Spin magnetization   4.0 μB per cell
Final energy   -7.75 eV per atom
ΔE_f (raw)   -2.8166 eV per atom

```
&SYSTEM
  ibrav = 0, nat = 18, ntyp = 3
/
ATOMIC_SPECIES
Ba 137.33 Ba.upf
O 16.00 O.upf
Ti 47.87 Ti.upf
CELL_PARAMETERS angstrom
-3.346 -7.214 4.280
4.440 -5.110 5.978
-1.864 8.591 -2.071
ATOMIC_POSITIONS angstrom
Ba -1.431 3.878 1.842
O -2.309 -3.833 4.936
Ti 1.288 1.740 1.954
O -0.385 -1.867 4.093
Ti -2.133 -2.445 3.584
Ti -2.605 0.688 1.104
O -2.569 -0.897 2.492
Ba 0.660 -7.612 6.345
O 0.633 2.910 3.518
Ti 1.362 -1.289 4.603
Ba -1.720 7.133 -0.868
O 1.538 0.099 3.251
Ba 0.949 -10.867 9.055
O -0.654 1.171 1.565
O -0.116 -4.905 6.621
O -1.404 -6.644 4.668
O -1.673 -3.607 2.140
O 1.798 -2.837 5.695
```

# 12
Density functional theory data (PBE) for crystalline AlMo2HRh at its relaxed geometry. Values from VASP.

## Properties
Spin magnetization   0.0 μB per cell
Final energy   -7.38 eV per atom

```
&SYSTEM
  ibrav = 0, nat = 5, ntyp = 4
/
ATOMIC_SPECIES
Mo 95.94 Mo.upf
Rh 102.91 Rh.upf
Al 26.98 Al.upf
H 1.01 H.upf
CELL_PARAMETERS angstrom
-0.324 2.764 2.543
-3.740 -0.006 -0.470
-0.401 -3.024 3.235
ATOMIC_POSITIONS angstrom
Mo -1.870 -0.003 -0.235
Rh -0.201 -1.512 1.617
Al -2.233 -0.133 2.654
H 0.000 0.000 0.000
Mo -0.162 1.382 1.272
```